First-principles (GGA+U) data for a relaxed YMnIn2F crystal, as listed in Alexandria via LeMat-Bulk.

Uncorrected energy, Ry per atom: -0.3480
V, Å³/cell: 157.19
M_tot, Bohr magnetons per cell: 4.965

```
data_YMnIn2F
_chemical_formula_sum 'Y1 Mn1 In2 F1'
_cell_length_a 6.120
_cell_length_b 6.120
_cell_length_c 4.197
_cell_angle_alpha 90.00
_cell_angle_beta 90.00
_cell_angle_gamma 90.00
_space_group_name_H-M_alt 'P 4/m m m'
_space_group_IT_number 123
_space_group_name_Hall '-P 4 2'
loop_
_atom_site_label
_atom_site_type_symbol
_atom_site_fract_x
_atom_site_fract_y
_atom_site_fract_z
Y1 Y 0.000 0.000 0.000
Mn1 Mn 0.500 0.500 0.500
In1 In 0.000 0.500 0.000
F1 F 0.000 0.000 0.500
```